(1)
Entry from Alexandria: a PBEsol-optimized structure of WSe3N (meta-GGA SCAN).

The structure belongs to space group Pm-3m (No. 221); the cell edges are 4.876, 4.876 and 4.876 Å and the angles 90.00°, 90.00° and 90.00°. The asymmetric unit holds W at (0.000, 0.000, 0.000), Se at (0.000, 0.000, 0.500) and N at (0.500, 0.500, 0.500).

=====

(2)
Entry from Alexandria: a PBEsol-optimized structure of YWSe2N (meta-GGA SCAN).

The structure belongs to space group P4/mmm (No. 123); the cell edges are 5.035, 5.035 and 3.803 Å and the angles 90.00°, 90.00° and 90.00°. The asymmetric unit holds Y at (0.000, 0.000, 0.000), W at (0.500, 0.500, 0.500), Se at (0.000, 0.500, 0.500) and N at (0.500, 0.500, 0.000).

=====

(3)
Entry from Alexandria: a PBEsol-optimized structure of ZnWSeN2 (meta-GGA SCAN).

The structure belongs to space group P4/mmm (No. 123); the cell edges are 3.855, 3.855 and 5.259 Å and the angles 90.00°, 90.00° and 90.00°. The asymmetric unit holds Zn at (0.000, 0.000, 0.000), W at (0.500, 0.500, 0.500), Se at (0.500, 0.500, 0.000) and N at (0.000, 0.500, 0.500).

=====

(4)
Entry from Alexandria: a PBEsol-optimized structure of ZrWSeN2 (meta-GGA SCAN).

The structure belongs to space group P4/mmm (No. 123); the cell edges are 3.912, 3.912 and 4.958 Å and the angles 90.00°, 90.00° and 90.00°. The asymmetric unit holds Zr at (0.000, 0.000, 0.000), W at (0.500, 0.500, 0.500), Se at (0.500, 0.500, 0.000) and N at (0.000, 0.500, 0.500).

The energy above the most stable polymorph in this dataset is 0.000 eV/f.u.

=====

(5)
Entry from Alexandria: a PBEsol-optimized structure of ZrWSe2N (meta-GGA SCAN).

The structure belongs to space group P4/mmm (No. 123); the cell edges are 4.992, 4.992 and 3.748 Å and the angles 90.00°, 90.00° and 90.00°. The asymmetric unit holds Zr at (0.000, 0.000, 0.000), W at (0.500, 0.500, 0.500), Se at (0.000, 0.500, 0.500) and N at (0.500, 0.500, 0.000).

=====

(6)
Entry from Alexandria: a PBEsol-optimized structure of ZrWSeN2 (meta-GGA SCAN).

The structure belongs to space group P4/mmm (No. 123); the cell edges are 4.061, 4.061 and 5.269 Å and the angles 90.00°, 90.00° and 90.00°. The asymmetric unit holds Zr at (0.000, 0.000, 0.000), W at (0.500, 0.500, 0.500), Se at (0.000, 0.000, 0.500) and N at (0.000, 0.500, 0.000).

The energy above the most stable polymorph in this dataset is 4.905 eV/f.u.

=====

(7)
Entry from Alexandria: a PBEsol-optimized structure of ZnSe3N (meta-GGA SCAN).

The structure belongs to space group Pm-3m (No. 221); the cell edges are 4.341, 4.341 and 4.341 Å and the angles 90.00°, 90.00° and 90.00°. The asymmetric unit holds Zn at (0.000, 0.000, 0.000), Se at (0.000, 0.500, 0.500) and N at (0.500, 0.500, 0.500).

=====

(8)
Entry from Alexandria: a PBEsol-optimized structure of ZrSe2N2 (meta-GGA SCAN).

The structure belongs to space group P4/mmm (No. 123); the cell edges are 5.209, 5.209 and 4.134 Å and the angles 90.00°, 90.00° and 90.00°. The asymmetric unit holds Zr at (0.000, 0.000, 0.000), Se at (0.000, 0.500, 0.000), N at (0.000, 0.000, 0.500) and N at (0.500, 0.500, 0.500).

=====

(9)
Entry from Alexandria: a PBEsol-optimized structure of Zr2SeN2 (meta-GGA SCAN).

The structure belongs to space group P6_3/mmc (No. 194); the cell edges are 3.6283, 3.6283 and 13.1277 Å and the angles 90.00°, 90.00° and 120.00°. The asymmetric unit holds Zr at (0.3333, 0.6667, 0.0986), Se at (0.0000, 0.0000, 0.2500) and N at (0.3333, 0.6667, 0.5665).

=====

(10)
Entry from Alexandria: a PBEsol-optimized structure of Zr2SeN2 (meta-GGA SCAN).

The structure belongs to space group P-3m1 (No. 164); the cell edges are 3.6234, 3.6234 and 6.6004 Å and the angles 90.00°, 90.00° and 120.00°. The asymmetric unit holds Zr at (0.3333, 0.6667, 0.1963), Se at (0.0000, 0.0000, 0.5000) and N at (0.3333, 0.6667, 0.8682).

=====

(11)
Entry from Alexandria: a PBEsol-optimized structure of Sm3Si6N11 (meta-GGA SCAN).

The structure belongs to space group P4bm (No. 100); the cell edges are 9.993, 9.993 and 4.850 Å and the angles 90.00°, 90.00° and 90.00°. The asymmetric unit holds Sm at (0.000, 0.000, 0.000), Sm at (0.182, 0.318, 0.016), Si at (0.080, 0.792, 0.551), Si at (0.118, 0.618, 0.062), N at (0.000, 0.500, 0.096), N at (0.078, 0.775, 0.195), N at (0.080, 0.181, 0.670) and N at (0.153, 0.653, 0.715).

=====

(12)
Entry from Alexandria: a PBEsol-optimized structure of SiSnN2 (meta-GGA SCAN).

The structure belongs to space group Ima2 (No. 46); the cell edges are 5.469, 7.459 and 4.920 Å and the angles 90.00°, 90.00° and 90.00°. The asymmetric unit holds Si at (0.250, 0.130, 0.000), Sn at (0.250, 0.622, 0.050), N at (0.000, 0.000, 0.874) and N at (0.250, 0.157, 0.349).

=====

(13)
Entry from Alexandria: a PBEsol-optimized structure of SiSnN3 (meta-GGA SCAN).

The structure belongs to space group Pm-3m (No. 221); the cell edges are 3.669, 3.669 and 3.669 Å and the angles 90.00°, 90.00° and 90.00°. The asymmetric unit holds Si at (0.000, 0.000, 0.000), Sn at (0.500, 0.500, 0.500) and N at (0.000, 0.000, 0.500).

=====

(14)
Entry from Alexandria: a PBEsol-optimized structure of YSiSnN2 (meta-GGA SCAN).

The structure belongs to space group P4/mmm (No. 123); the cell edges are 3.954, 3.954 and 5.312 Å and the angles 90.00°, 90.00° and 90.00°. The asymmetric unit holds Y at (0.000, 0.000, 0.000), Si at (0.000, 0.000, 0.500), Sn at (0.500, 0.500, 0.000) and N at (0.000, 0.500, 0.500).

=====

(15)
Entry from Alexandria: a PBEsol-optimized structure of SrSi3N (meta-GGA SCAN).

The structure belongs to space group Pm-3m (No. 221); the cell edges are 5.628, 5.628 and 5.628 Å and the angles 90.00°, 90.00° and 90.00°. The asymmetric unit holds Sr at (0.000, 0.000, 0.000), Si at (0.000, 0.000, 0.500) and N at (0.500, 0.500, 0.500).

=====

(16)
Entry from Alexandria: a PBEsol-optimized structure of SrSiTeN2 (meta-GGA SCAN).

The structure belongs to space group P4/mmm (No. 123); the cell edges are 4.060, 4.060 and 5.279 Å and the angles 90.00°, 90.00° and 90.00°. The asymmetric unit holds Sr at (0.000, 0.000, 0.000), Si at (0.500, 0.500, 0.500), Te at (0.500, 0.500, 0.000) and N at (0.000, 0.500, 0.500).

=====

(17)
Entry from Alexandria: a PBEsol-optimized structure of SrYSi4N7 (meta-GGA SCAN).

The structure belongs to space group P6_3mc (No. 186); the cell edges are 6.0066, 6.0066 and 9.8104 Å and the angles 90.00°, 90.00° and 120.00°. The asymmetric unit holds Sr at (0.3333, 0.6667, 0.0000), Y at (0.3333, 0.6667, 0.6307), Si at (0.0000, 0.0000, 0.0551), Si at (0.1735, 0.3470, 0.3213), N at (0.0000, 0.0000, 0.2456), N at (0.0215, 0.5108, 0.2688) and N at (0.1537, 0.3073, 0.4948).

=====

(18)
Entry from Alexandria: a PBEsol-optimized structure of Ta5Si3N (meta-GGA SCAN).

The structure belongs to space group P6_3/mcm (No. 193); the cell edges are 7.4169, 7.4169 and 5.3596 Å and the angles 90.00°, 90.00° and 120.00°. The asymmetric unit holds Ta at (0.0000, 0.2345, 0.2500), Ta at (0.3333, 0.6667, 0.0000), Si at (0.0000, 0.4056, 0.7500) and N at (0.0000, 0.0000, 0.0000).

=====

(19)
Entry from Alexandria: a PBEsol-optimized structure of TaSiN3 (meta-GGA SCAN).

The structure belongs to space group Pm-3m (No. 221); the cell edges are 3.539, 3.539 and 3.539 Å and the angles 90.00°, 90.00° and 90.00°. The asymmetric unit holds Ta at (0.000, 0.000, 0.000), Si at (0.500, 0.500, 0.500) and N at (0.000, 0.500, 0.500).

=====

(20)
Entry from Alexandria: a PBEsol-optimized structure of SiTcN3 (meta-GGA SCAN).

The structure belongs to space group Pm-3m (No. 221); the cell edges are 3.844, 3.844 and 3.844 Å and the angles 90.00°, 90.00° and 90.00°. The asymmetric unit holds Si at (0.000, 0.000, 0.000), Tc at (0.500, 0.500, 0.500) and N at (0.000, 0.500, 0.500).

=====

(21)
Entry from Alexandria: a PBEsol-optimized structure of SiTe2N (meta-GGA SCAN).

The structure belongs to space group I-42d (No. 122); the cell edges are 6.540, 6.540 and 7.867 Å and the angles 90.00°, 90.00° and 90.00°. The asymmetric unit holds Si at (0.000, 0.000, 0.000), Te at (0.197, 0.250, 0.625) and N at (0.000, 0.000, 0.500).

=====

(22)
Entry from Alexandria: a PBEsol-optimized structure of SiTe2N2 (meta-GGA SCAN).

The structure belongs to space group P4/mmm (No. 123); the cell edges are 3.994, 3.994 and 6.131 Å and the angles 90.00°, 90.00° and 90.00°. The asymmetric unit holds Si at (0.000, 0.000, 0.000), Te at (0.500, 0.500, 0.000), Te at (0.500, 0.500, 0.500) and N at (0.000, 0.500, 0.500).

=====

(23)
Entry from Alexandria: a PBEsol-optimized structure of Si3TeN (meta-GGA SCAN).

The structure belongs to space group Pm-3m (No. 221); the cell edges are 4.256, 4.256 and 4.256 Å and the angles 90.00°, 90.00° and 90.00°. The asymmetric unit holds Si at (0.000, 0.000, 0.500), Te at (0.500, 0.500, 0.500) and N at (0.000, 0.000, 0.000).

=====

(24)
Entry from Alexandria: a PBEsol-optimized structure of TlSiTe2N (meta-GGA SCAN).

The structure belongs to space group P4/mmm (No. 123); the cell edges are 5.819, 5.819 and 3.290 Å and the angles 90.00°, 90.00° and 90.00°. The asymmetric unit holds Tl at (0.000, 0.000, 0.000), Si at (0.500, 0.500, 0.500), Te at (0.000, 0.500, 0.500) and N at (0.500, 0.500, 0.000).

=====

no.,formation energy from raw total energies (eV per formula unit),M_tot (μB per formula unit),total DFT energy (no corrections) (eV per atom)
1,5.674,3.0,-26.708
2,-2.992,0.0,-29.994
3,1.331,0.2,-24.107
4,-0.058,0.0,-27.821
5,-0.167,0.4,-30.000
6,4.847,2.0,-26.840
7,4.431,0.0,-15.722
8,4.329,4.2,-17.022
9,-9.576,0.0,-21.927
10,-9.508,0.0,-21.913
11,-31.543,0.0,-16.358
12,-2.258,0.0,-16.694
13,2.903,0.0,-14.182
14,4.687,0.0,-17.535
15,13.732,3.9,-9.576
16,1.987,2.1,-17.227
17,-19.825,0.0,-13.465
18,-6.188,0.0,-42.049
19,-0.499,0.0,-20.994
20,5.293,0.0,-13.531
21,3.858,0.0,-22.488
22,7.946,0.0,-19.031
23,4.415,0.0,-14.435
24,0.359,0.0,-33.162